(1)
# MoSeN3

A crystal of MoSeN3 relaxed with PBEsol (meta-GGA SCAN, Alexandria via LeMat-Bulk).

## Properties
- Total moment: 0.0 μB per cell
- Crystal system: cubic
- Formation energy from raw total energies: 1.1743 eV per atom

Cell lengths 3.939, 3.939, 3.939 Å; angles 90.00, 90.00, 90.00 degrees
Element x y z (fractional)
N 0.000 0.000 0.500
Mo 0.000 0.000 0.000
N 0.000 0.500 0.000
Se 0.500 0.500 0.500
N 0.500 0.000 0.000

***

(2)
# MoSe2N

A crystal of MoSe2N relaxed with PBEsol (meta-GGA SCAN, Alexandria via LeMat-Bulk).

## Properties
- Total moment: 0.0 μB per cell
- Crystal system: trigonal
- Formation energy from raw total energies: 1.4105 eV per atom

Cell lengths 3.083, 3.083, 7.798 Å; angles 78.60, 78.60, 60.00 degrees
Element x y z (fractional)
Se 0.396 0.396 0.811
N 0.000 0.000 0.000
Se 0.604 0.604 0.189
Mo 0.500 0.500 0.500

***

(3)
# MoSe2N2

A crystal of MoSe2N2 relaxed with PBEsol (meta-GGA SCAN, Alexandria via LeMat-Bulk).

## Properties
- Total moment: 0.0 μB per cell
- Crystal system: tetragonal
- Formation energy from raw total energies: 0.4768 eV per atom

Cell lengths 4.540, 4.540, 4.540 Å; angles 109.40, 109.40, 109.62 degrees
Element x y z (fractional)
N 0.610 0.610 0.000
Se 0.750 0.250 0.500
N 0.390 0.390 0.000
Mo 0.000 0.000 0.000
Se 0.250 0.750 0.500

***

(4)
# SnMoSe2N

A crystal of SnMoSe2N relaxed with PBEsol (meta-GGA SCAN, Alexandria via LeMat-Bulk).

## Properties
- Total moment: 4.5 μB per cell
- Crystal system: tetragonal
- Formation energy from raw total energies: 1.1256 eV per atom

Cell lengths 3.848, 5.253, 5.253 Å; angles 90.00, 90.00, 90.00 degrees
Last column: magnetic moment on the atom in μB.
Element x y z (fractional)
Se 0.000 0.500 0.000  -0.11
Se 0.000 0.000 0.500  -0.11
Mo 0.500 0.500 0.500  3.69
N 0.500 0.000 0.000  0.53
Sn 0.000 0.000 0.000  -0.05

***

(5)
# TiMoSeN2

A crystal of TiMoSeN2 relaxed with PBEsol (meta-GGA SCAN, Alexandria via LeMat-Bulk).

## Properties
- Total moment: 1.7 μB per cell
- Crystal system: tetragonal
- Formation energy from raw total energies: 0.1248 eV per atom

Cell lengths 3.849, 3.849, 5.090 Å; angles 90.00, 90.00, 90.00 degrees
Last column: magnetic moment on the atom in μB.
Element x y z (fractional)
Se 0.000 0.000 0.500  -0.04
N 0.000 0.500 0.000  -0.20
Ti 0.500 0.500 0.500  1.65
N 0.500 0.000 0.000  -0.20
Mo 0.000 0.000 0.000  0.40

***

(6)
# TlMoSe2N

A crystal of TlMoSe2N relaxed with PBEsol (meta-GGA SCAN, Alexandria via LeMat-Bulk).

## Properties
- Total moment: 5.6 μB per cell
- Crystal system: tetragonal
- Formation energy from raw total energies: 1.5424 eV per atom

Cell lengths 4.034, 5.343, 5.343 Å; angles 90.00, 90.00, 90.00 degrees
Last column: magnetic moment on the atom in μB.
Element x y z (fractional)
Tl 0.000 0.000 0.000  -0.01
Mo 0.500 0.500 0.500  3.79
N 0.500 0.000 0.000  1.04
Se 0.000 0.500 0.000  -0.01
Se 0.000 0.000 0.500  -0.01

***

(7)
# MoWSe2N

A crystal of MoWSe2N relaxed with PBEsol (meta-GGA SCAN, Alexandria via LeMat-Bulk).

## Properties
- Total moment: 4.5 μB per cell
- Crystal system: tetragonal
- Formation energy from raw total energies: 0.6007 eV per atom

Cell lengths 3.747, 4.987, 4.987 Å; angles 90.00, 90.00, 90.00 degrees
Last column: magnetic moment on the atom in μB.
Element x y z (fractional)
W 0.000 0.000 0.000  0.54
N 0.500 0.000 0.000  -0.03
Se 0.000 0.000 0.500  -0.12
Se 0.000 0.500 0.000  -0.12
Mo 0.500 0.500 0.500  3.75

***

(8)
# YMoSe2N

A crystal of YMoSe2N relaxed with PBEsol (meta-GGA SCAN, Alexandria via LeMat-Bulk).

## Properties
- Total moment: 2.0 μB per cell
- Crystal system: tetragonal
- Formation energy from raw total energies: 0.4755 eV per atom

Cell lengths 4.065, 5.367, 5.367 Å; angles 90.00, 90.00, 90.00 degrees
Last column: magnetic moment on the atom in μB.
Element x y z (fractional)
Se 0.000 0.500 0.000  -0.31
Y 0.000 0.000 0.000  -0.17
N 0.500 0.000 0.000  -1.03
Mo 0.500 0.500 0.500  3.82
Se 0.000 0.000 0.500  -0.31

***

(9)
# ZnMoSeN2

A crystal of ZnMoSeN2 relaxed with PBEsol (meta-GGA SCAN, Alexandria via LeMat-Bulk).

## Properties
- Total moment: 0.4 μB per cell
- Crystal system: tetragonal
- Formation energy from raw total energies: 1.4550 eV per atom

Cell lengths 3.803, 3.803, 4.935 Å; angles 90.00, 90.00, 90.00 degrees
Last column: magnetic moment on the atom in μB.
Element x y z (fractional)
N 0.000 0.500 0.000  -1.03
Se 0.000 0.000 0.500  -0.25
Zn 0.000 0.000 0.000  -0.08
Mo 0.500 0.500 0.500  3.24
N 0.500 0.000 0.000  -1.03

***

(10)
# SiMoN3

A crystal of SiMoN3 relaxed with PBEsol (meta-GGA SCAN, Alexandria via LeMat-Bulk).

## Properties
- Total moment: 0.0 μB per cell
- Crystal system: cubic
- Formation energy from raw total energies: 0.8873 eV per atom

Cell lengths 3.916, 3.916, 3.916 Å; angles 90.00, 90.00, 90.00 degrees
Element x y z (fractional)
N 0.500 0.000 0.000
Si 0.500 0.500 0.500
N 0.000 0.500 0.000
N 0.000 0.000 0.500
Mo 0.000 0.000 0.000

***

(11)
# SiMoN3

A crystal of SiMoN3 relaxed with PBEsol (meta-GGA SCAN, Alexandria via LeMat-Bulk).

## Properties
- Total moment: 1.2 μB per cell
- Crystal system: cubic
- Formation energy from raw total energies: 0.3289 eV per atom

Cell lengths 3.532, 3.532, 3.532 Å; angles 90.00, 90.00, 90.00 degrees
Last column: magnetic moment on the atom in μB.
Element x y z (fractional)
N 0.500 0.000 0.000  -0.22
N 0.000 0.500 0.000  -0.22
Si 0.000 0.000 0.000  0.02
Mo 0.500 0.500 0.500  1.93
N 0.000 0.000 0.500  -0.22

***

(12)
# SnMo3N

A crystal of SnMo3N relaxed with PBEsol (meta-GGA SCAN, Alexandria via LeMat-Bulk).

## Properties
- Total moment: 0.0 μB per cell
- Crystal system: cubic
- Formation energy from raw total energies: -0.0668 eV per atom

Cell lengths 4.137, 4.137, 4.137 Å; angles 90.00, 90.00, 90.00 degrees
Element x y z (fractional)
Mo 0.000 0.000 0.500
Mo 0.000 0.500 0.000
N 0.000 0.000 0.000
Sn 0.500 0.500 0.500
Mo 0.500 0.000 0.000

***

(13)
# Sr3MoN4

A crystal of Sr3MoN4 relaxed with PBEsol (meta-GGA SCAN, Alexandria via LeMat-Bulk).

## Properties
- Total moment: 0.0 μB per cell
- Crystal system: orthorhombic
- Formation energy from raw total energies: -1.1446 eV per atom

Cell lengths 9.643, 10.445, 11.476 Å; angles 90.00, 90.00, 90.00 degrees
Element x y z (fractional)
Sr 0.026 0.874 0.603
N 0.784 0.762 0.678
Sr 0.474 0.874 0.103
Sr 0.865 0.527 0.646
Sr 0.365 0.473 0.854
Mo 0.810 0.400 0.388
N 0.389 0.995 0.276
Sr 0.635 0.027 0.354
Mo 0.310 0.100 0.388
N 0.813 0.504 0.970
N 0.284 0.238 0.822
N 0.944 0.342 0.493
Sr 0.974 0.126 0.397
N 0.313 0.996 0.970
Sr 0.693 0.211 0.616
Sr 0.474 0.374 0.397
Sr 0.135 0.973 0.146
N 0.556 0.342 0.993
Mo 0.310 0.600 0.112
N 0.611 0.505 0.776
N 0.889 0.005 0.224
Sr 0.193 0.789 0.884
N 0.889 0.505 0.276
N 0.716 0.262 0.322
N 0.216 0.738 0.178
N 0.687 0.504 0.470
N 0.216 0.238 0.322
N 0.284 0.738 0.678
Sr 0.307 0.289 0.116
N 0.313 0.496 0.530
Sr 0.974 0.626 0.103
Mo 0.190 0.600 0.612
Sr 0.526 0.126 0.897
N 0.111 0.995 0.776
Sr 0.193 0.289 0.616
N 0.813 0.004 0.530
Sr 0.365 0.973 0.646
Sr 0.807 0.211 0.116
N 0.687 0.004 0.030
N 0.056 0.158 0.993
Sr 0.526 0.626 0.603
N 0.056 0.658 0.507
Sr 0.307 0.789 0.384
N 0.111 0.495 0.724
Sr 0.635 0.527 0.146
N 0.556 0.842 0.507
Mo 0.690 0.900 0.612
Sr 0.807 0.711 0.384
N 0.611 0.005 0.724
Sr 0.026 0.374 0.897
Mo 0.810 0.900 0.112
Mo 0.690 0.400 0.888
N 0.444 0.658 0.007
N 0.187 0.496 0.030
Sr 0.865 0.027 0.854
N 0.944 0.842 0.007
Sr 0.135 0.473 0.354
N 0.784 0.262 0.822
N 0.444 0.158 0.493
Mo 0.190 0.100 0.888
N 0.716 0.762 0.178
Sr 0.693 0.711 0.884
N 0.187 0.996 0.470
N 0.389 0.495 0.224